A | First-principles (GGA-PBE) data for a relaxed structure of Na5Cd3F12, as listed in Alexandria via LeMat-Bulk.

Unit cell a=11.4869 b=11.4869 c=11.4869 alpha=109.47 beta=109.47 gamma=109.47
Closest atoms and distances in Å follow each position.
Sites, in units of the cell vectors:
Cd (0.7500, 0.3750, 0.1250)  8 F 2.34-2.55
Cd (0.8750, 0.7500, 0.1250)  8 F 2.34-2.55
Cd (0.3750, 0.7500, 0.6250)  8 F 2.34-2.55
Cd (0.2500, 0.1250, 0.3750)  8 F 2.34-2.55
Cd (0.8750, 0.1250, 0.2500)  8 F 2.34-2.55
Cd (0.3750, 0.6250, 0.2500)  8 F 2.34-2.55
Cd (0.6250, 0.3750, 0.7500)  8 F 2.34-2.55
Cd (0.1250, 0.8750, 0.7500)  8 F 2.34-2.55
Cd (0.7500, 0.8750, 0.6250)  8 F 2.34-2.55
Cd (0.6250, 0.2500, 0.3750)  8 F 2.34-2.55
Cd (0.1250, 0.2500, 0.8750)  8 F 2.34-2.55
Cd (0.2500, 0.6250, 0.8750)  8 F 2.34-2.55
Na (0.1250, 0.3750, 0.2500)  4 F 2.14
Na (0.0000, 0.5000, 0.0000)  6 F 2.30
Na (0.0000, 0.0000, 0.0000)  6 F 2.30
Na (0.3750, 0.2500, 0.1250)  4 F 2.14
Na (0.5000, 0.0000, 0.5000)  6 F 2.30
Na (0.5000, 0.5000, 0.0000)  6 F 2.30
Na (0.1250, 0.7500, 0.3750)  4 F 2.14
Na (0.7500, 0.1250, 0.8750)  4 F 2.14
Na (0.7500, 0.6250, 0.3750)  4 F 2.14
Na (0.3750, 0.1250, 0.7500)  4 F 2.14
Na (0.6250, 0.8750, 0.2500)  4 F 2.14
Na (0.5000, 0.5000, 0.5000)  6 F 2.30
Na (0.5000, 0.0000, 0.0000)  6 F 2.30
Na (0.0000, 0.0000, 0.5000)  6 F 2.30
Na (0.2500, 0.3750, 0.6250)  4 F 2.14
Na (0.2500, 0.8750, 0.1250)  4 F 2.14
Na (0.0000, 0.5000, 0.5000)  6 F 2.30
Na (0.8750, 0.2500, 0.6250)  4 F 2.14
Na (0.6250, 0.7500, 0.8750)  4 F 2.14
Na (0.8750, 0.6250, 0.7500)  4 F 2.14
F (0.7308, 0.1317, 0.0559)  2 Na 2.14-2.30, 1 Cd 2.34
F (0.3251, 0.5559, 0.4242)  2 Na 2.14-2.30, 1 Cd 2.34
F (0.9441, 0.3683, 0.2692)  2 Na 2.14-2.30, 1 Cd 2.34
F (0.5559, 0.2308, 0.1317)  2 Na 2.14-2.30, 1 Cd 2.34
F (0.5992, 0.7308, 0.6749)  2 Na 2.14-2.30, 1 Cd 2.34
F (0.9441, 0.5758, 0.1749)  2 Na 2.14-2.30, 1 Cd 2.34
F (0.3251, 0.7692, 0.4008)  2 Na 2.14-2.30, 1 Cd 2.34
F (0.0758, 0.9008, 0.1317)  2 Na 2.14-2.30, 1 Cd 2.34
F (0.5758, 0.9441, 0.6749)  2 Na 2.14-2.30, 1 Cd 2.34
F (0.7308, 0.5992, 0.1749)  2 Na 2.14-2.30, 1 Cd 2.34
F (0.7692, 0.4441, 0.3683)  2 Na 2.14-2.30, 1 Cd 2.34
F (0.8251, 0.9242, 0.0559)  2 Na 2.14-2.30, 1 Cd 2.34
F (0.1317, 0.7308, 0.5559)  2 Na 2.14-2.30, 1 Cd 2.34
F (0.3683, 0.4242, 0.0992)  2 Na 2.14-2.30, 1 Cd 2.34
F (0.0992, 0.9242, 0.3683)  2 Na 2.14-2.30, 1 Cd 2.34
F (0.4008, 0.1317, 0.5758)  2 Na 2.14-2.30, 1 Cd 2.34
F (0.0992, 0.1749, 0.2308)  2 Na 2.14-2.30, 1 Cd 2.34
F (0.4441, 0.6749, 0.0758)  2 Na 2.14-2.30, 1 Cd 2.34
F (0.8251, 0.9008, 0.2692)  2 Na 2.14-2.30, 1 Cd 2.34
F (0.1317, 0.4008, 0.0758)  2 Na 2.14-2.30, 1 Cd 2.34
F (0.3683, 0.9441, 0.7692)  2 Na 2.14-2.30, 1 Cd 2.34
F (0.5758, 0.6317, 0.4008)  2 Na 2.14-2.30, 1 Cd 2.34
F (0.9242, 0.8251, 0.5559)  2 Na 2.14-2.30, 1 Cd 2.34
F (0.7692, 0.3251, 0.9008)  2 Na 2.14-2.30, 1 Cd 2.34
F (0.4242, 0.3683, 0.5992)  2 Na 2.14-2.30, 1 Cd 2.34
F (0.0758, 0.1749, 0.4441)  2 Na 2.14-2.30, 1 Cd 2.34
F (0.2308, 0.6749, 0.0992)  2 Na 2.14-2.30, 1 Cd 2.34
F (0.1749, 0.0992, 0.7308)  2 Na 2.14-2.30, 1 Cd 2.34
F (0.6317, 0.0559, 0.2308)  2 Na 2.14-2.30, 1 Cd 2.34
F (0.8683, 0.5992, 0.9242)  2 Na 2.14-2.30, 1 Cd 2.34
F (0.5559, 0.3251, 0.9242)  2 Na 2.14-2.30, 1 Cd 2.34
F (0.5992, 0.8683, 0.4242)  2 Na 2.14-2.30, 1 Cd 2.34
F (0.9008, 0.8251, 0.7692)  2 Na 2.14-2.30, 1 Cd 2.34
F (0.9008, 0.0758, 0.6317)  2 Na 2.14-2.30, 1 Cd 2.34
F (0.8683, 0.2692, 0.4441)  2 Na 2.14-2.30, 1 Cd 2.34
F (0.1749, 0.0758, 0.9441)  2 Na 2.14-2.30, 1 Cd 2.34
F (0.6317, 0.5758, 0.9008)  2 Na 2.14-2.30, 1 Cd 2.34
F (0.4242, 0.0559, 0.3251)  2 Na 2.14-2.30, 1 Cd 2.34
F (0.2692, 0.4008, 0.8251)  2 Na 2.14-2.30, 1 Cd 2.34
F (0.2308, 0.5559, 0.6317)  2 Na 2.14-2.30, 1 Cd 2.34
F (0.9242, 0.0992, 0.8683)  2 Na 2.14-2.30, 1 Cd 2.34
F (0.6749, 0.2308, 0.5992)  2 Na 2.14-2.30, 1 Cd 2.34
F (0.4441, 0.7692, 0.8683)  2 Na 2.14-2.30, 1 Cd 2.34
F (0.0559, 0.4242, 0.8251)  2 Na 2.14-2.30, 1 Cd 2.34
F (0.4008, 0.2692, 0.3251)  2 Na 2.14-2.30, 1 Cd 2.34
F (0.0559, 0.6317, 0.7308)  2 Na 2.14-2.30, 1 Cd 2.34
F (0.6749, 0.4441, 0.5758)  2 Na 2.14-2.30, 1 Cd 2.34
F (0.2692, 0.8683, 0.9441)  2 Na 2.14-2.30, 1 Cd 2.34

## Properties
Crystal system = cubic

B | First-principles (GGA-PBE) data for a relaxed structure of Na5Cd3F12, as listed in Alexandria via LeMat-Bulk.

Unit cell a=3.5096 b=9.7482 c=9.7482 alpha=120.00 beta=90.00 gamma=90.00
Closest atoms and distances in Å follow each position.
Sites, in units of the cell vectors:
Na (0.0000, 0.3333, 0.6667)  9 F 2.54-2.82
Na (0.0000, 0.6667, 0.3333)  9 F 2.54-2.82
Na (0.0000, 0.2861, 0.0000)  7 F 2.28-2.50
Na (0.0000, 0.7139, 0.7139)  7 F 2.28-2.50
Na (0.0000, 0.0000, 0.2861)  7 F 2.28-2.50
Cd (0.5000, 0.6619, 0.0000)  6 F 2.17-2.28
Cd (0.5000, 0.3381, 0.3381)  6 F 2.17-2.28
Cd (0.5000, 0.0000, 0.6619)  6 F 2.17-2.28
F (0.0000, 0.8119, 0.0000)  2 Cd 2.28, 2 Na 2.45
F (0.0000, 0.1881, 0.1881)  2 Cd 2.28, 2 Na 2.45
F (0.0000, 0.0000, 0.8119)  2 Cd 2.28, 2 Na 2.45
F (0.0000, 0.5200, 0.0000)  2 Cd 2.23, 1 Na 2.28
F (0.0000, 0.4800, 0.4800)  2 Cd 2.23, 1 Na 2.28
F (0.0000, 0.0000, 0.5200)  2 Cd 2.23, 1 Na 2.28
F (0.5000, 0.1955, 0.4523)  1 Cd 2.17
F (0.5000, 0.2568, 0.8045)  1 Cd 2.17
F (0.5000, 0.8045, 0.2568)  1 Cd 2.17
F (0.5000, 0.5477, 0.7432)  1 Cd 2.17
F (0.5000, 0.7432, 0.5477)  1 Cd 2.17
F (0.5000, 0.4523, 0.1955)  1 Cd 2.17

## Properties
Crystal system = hexagonal

Which is most stable? The ranking, best first, is B, A.

A | First-principles (GGA-PBE) data for a relaxed structure of NaCd2F, as listed in Alexandria via LeMat-Bulk.

Unit cell a=5.0581 b=5.0581 c=5.0581 alpha=60.00 beta=60.00 gamma=60.00
Closest atoms and distances in Å follow each position.
Sites, in units of the cell vectors:
Na (0.5000, 0.5000, 0.5000)  8 Cd 3.10
F (0.0000, 0.0000, 0.0000)  8 Cd 3.10
Cd (0.2500, 0.2500, 0.2500)  4 F 3.10, 4 Na 3.10
Cd (0.7500, 0.7500, 0.7500)  4 F 3.10, 4 Na 3.10

## Properties
Crystal system = cubic

B | First-principles (GGA-PBE) data for a relaxed structure of NaCd2F, as listed in Alexandria via LeMat-Bulk.

Unit cell a=8.3132 b=8.3132 c=6.4276 alpha=49.71 beta=49.71 gamma=90.00
Closest atoms and distances in Å follow each position.
Sites, in units of the cell vectors:
Na (0.0000, 0.0000, 0.0000)  2 F 2.60
Na (0.7500, 0.2500, 0.5000)  2 F 2.60
F (0.5000, 0.5000, 0.0000)  2 Na 2.60, 4 Cd 2.67
F (0.2500, 0.7500, 0.5000)  2 Na 2.60, 4 Cd 2.67
Cd (0.5599, 0.1250, 0.2500)  2 F 2.67, 2 Cd 2.82
Cd (0.1901, 0.6250, 0.2500)  2 F 2.67, 2 Cd 2.82
Cd (0.3750, 0.4401, 0.7500)  2 F 2.67, 2 Cd 2.82
Cd (0.8750, 0.8099, 0.7500)  2 F 2.67, 2 Cd 2.82

## Properties
Crystal system = tetragonal

Which is most stable? The ranking, best first, is B, A.

A | First-principles (GGA-PBE) data for a relaxed structure of NaCd2F6, as listed in Alexandria via LeMat-Bulk.

Unit cell a=5.9249 b=5.0932 c=9.5621 alpha=90.00 beta=91.18 gamma=90.00
Closest atoms and distances in Å follow each position.
Sites, in units of the cell vectors:
Na (0.5000, 0.5000, 0.0000)  6 F 2.27-2.33
Na (0.0000, 0.0000, 0.5000)  6 F 2.27-2.33
Cd (0.9998, 0.4977, 0.8155)  6 F 2.17-2.25
Cd (0.5002, 0.9977, 0.6845)  6 F 2.17-2.25
Cd (0.4998, 0.0023, 0.3155)  6 F 2.17-2.25
Cd (0.0002, 0.5023, 0.1845)  6 F 2.17-2.25
F (0.8213, 0.7680, 0.3229)  2 Cd 2.18-2.25, 1 Na 2.30
F (0.8206, 0.7631, 0.6741)  2 Cd 2.17-2.25, 1 Na 2.33
F (0.8438, 0.6986, 0.9983)  2 Cd 2.23-2.24, 1 Na 2.27
F (0.6562, 0.1986, 0.5017)  2 Cd 2.23-2.24, 1 Na 2.27
F (0.6794, 0.2631, 0.8259)  2 Cd 2.17-2.25, 1 Na 2.33
F (0.6787, 0.2680, 0.1771)  2 Cd 2.18-2.25, 1 Na 2.30
F (0.1787, 0.2320, 0.6771)  2 Cd 2.18-2.25, 1 Na 2.30
F (0.1794, 0.2369, 0.3259)  2 Cd 2.17-2.25, 1 Na 2.33
F (0.1562, 0.3014, 0.0017)  2 Cd 2.23-2.24, 1 Na 2.27
F (0.3438, 0.8014, 0.4983)  2 Cd 2.23-2.24, 1 Na 2.27
F (0.3206, 0.7369, 0.1741)  2 Cd 2.17-2.25, 1 Na 2.33
F (0.3213, 0.7320, 0.8229)  2 Cd 2.18-2.25, 1 Na 2.30

## Properties
Crystal system = monoclinic

B | First-principles (GGA-PBE) data for a relaxed structure of NaCd2F6, as listed in Alexandria via LeMat-Bulk.

Unit cell a=3.9228 b=3.9228 c=9.3031 alpha=90.00 beta=90.00 gamma=120.00
Closest atoms and distances in Å follow each position.
Sites, in units of the cell vectors:
Na (0.0000, 0.0000, 0.0000)  8 F 2.42-2.45
Cd (0.3333, 0.6667, 0.6690)  8 F 2.23-2.42
Cd (0.6667, 0.3333, 0.3310)  8 F 2.23-2.42
F (0.0000, 0.0000, 0.2635)  3 Cd 2.35, 1 Na 2.45
F (0.3333, 0.6667, 0.9083)  1 Cd 2.23, 3 Na 2.42
F (0.6667, 0.3333, 0.5787)  4 Cd 2.30-2.42
F (0.6667, 0.3333, 0.0917)  1 Cd 2.23, 3 Na 2.42
F (0.0000, 0.0000, 0.7365)  3 Cd 2.35, 1 Na 2.45
F (0.3333, 0.6667, 0.4213)  4 Cd 2.30-2.42

## Properties
Crystal system = trigonal

Which is most stable? The ranking, best first, is B, A.

A | First-principles (GGA-PBE) data for a relaxed structure of NaCdOF2, as listed in Alexandria via LeMat-Bulk.

Unit cell a=4.0320 b=4.0320 c=4.2655 alpha=90.00 beta=90.00 gamma=90.00
Closest atoms and distances in Å follow each position.
Sites, in units of the cell vectors:
Na (0.0000, 0.0000, 0.0000)  4 F 2.02, 2 O 2.13
F (0.0000, 0.5000, 0.0000)  2 Na 2.02
F (0.5000, 0.0000, 0.0000)  2 Na 2.02
O (0.0000, 0.0000, 0.5000)  2 Na 2.13
Cd (0.5000, 0.5000, 0.5000)  4 O 2.85, 8 F 2.93

## Properties
Crystal system = tetragonal

B | First-principles (GGA-PBE) data for a relaxed structure of NaCdOF2, as listed in Alexandria via LeMat-Bulk.

Unit cell a=4.4549 b=4.4549 c=4.1984 alpha=90.00 beta=90.00 gamma=90.00
Closest atoms and distances in Å follow each position.
Sites, in units of the cell vectors:
Na (0.5000, 0.5000, 0.5000)  8 F 3.06, 4 O 3.15
F (0.0000, 0.5000, 0.0000)  2 Cd 2.23
F (0.5000, 0.0000, 0.0000)  2 Cd 2.23
O (0.0000, 0.0000, 0.5000)  2 Cd 2.10
Cd (0.0000, 0.0000, 0.0000)  2 O 2.10, 4 F 2.23

## Properties
Crystal system = tetragonal

Which is most stable? The ranking, best first, is B, A.

A | First-principles (GGA-PBE) data for a relaxed structure of NbCd3F, as listed in Alexandria via LeMat-Bulk.

Unit cell a=5.6514 b=5.6514 c=5.6514 alpha=90.00 beta=90.00 gamma=90.00
Closest atoms and distances in Å follow each position.
Sites, in units of the cell vectors:
Nb (0.0000, 0.0000, 0.0000)  6 Cd 2.83
F (0.5000, 0.5000, 0.5000)  12 Cd 4.00
Cd (0.0000, 0.5000, 0.0000)  2 Nb 2.83
Cd (0.0000, 0.0000, 0.5000)  2 Nb 2.83
Cd (0.5000, 0.0000, 0.0000)  2 Nb 2.83

## Properties
Crystal system = cubic

B | First-principles (GGA-PBE) data for a relaxed structure of NbCd3F, as listed in Alexandria via LeMat-Bulk.

Unit cell a=4.6712 b=4.6712 c=4.6712 alpha=90.00 beta=90.00 gamma=90.00
Closest atoms and distances in Å follow each position.
Sites, in units of the cell vectors:
Nb (0.5000, 0.5000, 0.5000)  12 Cd 3.30
F (0.0000, 0.0000, 0.0000)  6 Cd 2.34
Cd (0.0000, 0.5000, 0.0000)  2 F 2.34
Cd (0.0000, 0.0000, 0.5000)  2 F 2.34
Cd (0.5000, 0.0000, 0.0000)  2 F 2.34

## Properties
Crystal system = cubic

Which is most stable? The ranking, best first, is B, A.